VASP calculation (GGA-PBE) on a relaxed Nb4Co2MoSe12 crystal.

```
data_Nb4Co2MoSe12
_cell_length_a 7.0424
_cell_length_b 7.0424
_cell_length_c 19.3388
_cell_angle_alpha 109.04
_cell_angle_beta 109.04
_cell_angle_gamma 27.79
_symmetry_space_group_name_H-M 'P 1'
_symmetry_Int_Tables_number 1
_symmetry_space_group_name_Hall 'P 1'
loop_
_atom_site_label
_atom_site_fract_x
_atom_site_fract_y
_atom_site_fract_z
Nb1 0.1177 0.1177 0.1458
Nb2 0.2418 0.2418 0.4064
Nb3 0.7582 0.7582 0.5936
Nb4 0.8823 0.8823 0.8542
Co1 0.2730 0.2730 0.7175
Co2 0.7270 0.7270 0.2825
Mo1 0.5000 0.5000 0.0000
Se1 0.1005 0.1005 0.2792
Se2 0.1253 0.1253 0.6099
Se3 0.3054 0.3054 0.2339
Se4 0.3081 0.3081 0.9287
Se5 0.3708 0.3708 0.5487
Se6 0.4613 0.4613 0.1177
Se7 0.5387 0.5387 0.8823
Se8 0.6292 0.6292 0.4513
Se9 0.6919 0.6919 0.0713
Se10 0.6946 0.6946 0.7661
Se11 0.8747 0.8747 0.3901
Se12 0.8995 0.8995 0.7208
```

## Properties
As for the magnetization: 1.1 μB/cell. As for the space-group type: C2/m. As for the crystal system: monoclinic. The electronic total energy is -6.2951 eV per atom.

***

VASP calculation (GGA-PBE) on a relaxed NbOsW crystal.

```
data_NbOsW
_cell_length_a 4.3278
_cell_length_b 4.3278
_cell_length_c 4.3278
_cell_angle_alpha 60.00
_cell_angle_beta 60.00
_cell_angle_gamma 60.00
_symmetry_space_group_name_H-M 'P 1'
_symmetry_Int_Tables_number 1
_symmetry_space_group_name_Hall 'P 1'
loop_
_atom_site_label
_atom_site_fract_x
_atom_site_fract_y
_atom_site_fract_z
Nb1 0.0000 0.0000 0.0000
Os1 0.2500 0.2500 0.2500
W1 0.5000 0.5000 0.5000
```

## Properties
As for the magnetization: 0.0 μB/cell. As for the space-group type: F-43m. Its relative energy among the computed polymorphs is 0.000 eV per atom. For the formation enthalpy at 0 K, the calculation gives 0.475 eV per atom. As for the crystal system: cubic.

***

VASP calculation (GGA-PBE) on a relaxed Rb2AgGeBr6 crystal.

```
data_Rb2AgGeBr6
_cell_length_a 7.6984
_cell_length_b 7.7240
_cell_length_c 13.3829
_cell_angle_alpha 90.00
_cell_angle_beta 125.07
_cell_angle_gamma 90.00
_symmetry_space_group_name_H-M 'P 1'
_symmetry_Int_Tables_number 1
_symmetry_space_group_name_Hall 'P 1'
loop_
_atom_site_label
_atom_site_fract_x
_atom_site_fract_y
_atom_site_fract_z
Rb1 0.2421 0.0331 0.2495
Rb2 0.2421 0.4669 0.7495
Rb3 0.7579 0.5331 0.2505
Rb4 0.7579 0.9669 0.7505
Ag1 0.0000 0.0000 0.5000
Ag2 0.0000 0.5000 0.0000
Ge1 0.5000 0.0000 0.0000
Ge2 0.5000 0.5000 0.5000
Br1 0.2066 0.2172 0.9779
Br2 0.2066 0.2828 0.4779
Br3 0.2654 0.7274 0.9817
Br4 0.2654 0.7726 0.4817
Br5 0.2955 0.5016 0.2561
Br6 0.2955 0.9984 0.7561
Br7 0.7045 0.0016 0.2439
Br8 0.7045 0.4984 0.7439
Br9 0.7346 0.2274 0.5183
Br10 0.7346 0.2726 0.0183
Br11 0.7934 0.7172 0.5221
Br12 0.7934 0.7828 0.0221
```

## Properties
As for the space-group type: P2_1/c. As for the crystal system: monoclinic. The electronic total energy is -2.9325 eV per atom.

***

VASP calculation (GGA-PBE) on a relaxed PrSnTe3Au crystal.

```
data_PrSnTe3Au
_cell_length_a 7.7762
_cell_length_b 7.7762
_cell_length_c 11.4184
_cell_angle_alpha 90.00
_cell_angle_beta 90.00
_cell_angle_gamma 147.69
_symmetry_space_group_name_H-M 'P 1'
_symmetry_Int_Tables_number 1
_symmetry_space_group_name_Hall 'P 1'
loop_
_atom_site_label
_atom_site_fract_x
_atom_site_fract_y
_atom_site_fract_z
Pr1 0.0000 0.0000 0.0000
Pr2 0.0000 0.0000 0.5000
Sn1 0.2269 0.7731 0.7500
Sn2 0.7731 0.2269 0.2500
Te1 0.0971 0.9029 0.2500
Te2 0.3482 0.6518 0.0646
Te3 0.3482 0.6518 0.4354
Te4 0.6518 0.3482 0.5646
Te5 0.6518 0.3482 0.9354
Te6 0.9029 0.0971 0.7500
Au1 0.4724 0.5276 0.2500
Au2 0.5276 0.4724 0.7500
```

## Properties
As for the magnetization: 0.0 μB/cell. As for the space-group type: Cmcm. Its relative energy among the computed polymorphs is 0.000 eV per atom. As for the crystal system: orthorhombic.

***

VASP calculation (GGA-PBE) on a relaxed ErTmGa crystal.

```
data_ErTmGa
_cell_length_a 4.8970
_cell_length_b 4.8970
_cell_length_c 4.8970
_cell_angle_alpha 60.00
_cell_angle_beta 60.00
_cell_angle_gamma 60.00
_symmetry_space_group_name_H-M 'P 1'
_symmetry_Int_Tables_number 1
_symmetry_space_group_name_Hall 'P 1'
loop_
_atom_site_label
_atom_site_fract_x
_atom_site_fract_y
_atom_site_fract_z
Er1 0.0000 0.0000 0.0000
Tm1 0.5000 0.5000 0.5000
Ga1 0.2500 0.2500 0.2500
```

## Properties
As for the magnetization: 0.0 μB/cell. As for the space-group type: F-43m. Its relative energy among the computed polymorphs is 0.000 eV per atom. As for the crystal system: cubic.

***

VASP calculation (GGA-PBE) on a relaxed YCoHgAs crystal.

```
data_YCoHgAs
_cell_length_a 4.8144
_cell_length_b 4.8144
_cell_length_c 4.8144
_cell_angle_alpha 60.00
_cell_angle_beta 60.00
_cell_angle_gamma 60.00
_symmetry_space_group_name_H-M 'P 1'
_symmetry_Int_Tables_number 1
_symmetry_space_group_name_Hall 'P 1'
loop_
_atom_site_label
_atom_site_fract_x
_atom_site_fract_y
_atom_site_fract_z
Y1 0.0000 0.0000 0.0000
Co1 0.7500 0.7500 0.7500
Hg1 0.2500 0.2500 0.2500
As1 0.5000 0.5000 0.5000
```

## Properties
As for the magnetization: 0.9 μB/cell. As for the space-group type: F-43m. Its relative energy among the computed polymorphs is 0.191 eV per atom. As for the crystal system: cubic.